{"formula": "ZrAsPb2", "functional": "PBE", "state": "optimized geometry", "lattice": [[-1.058, 0.390, -3.508], [0.749, -3.419, -0.606], [-7.275, -3.727, 1.780]], "species": ["Pb", "Pb", "Zr", "As"], "frac_coords": [[0.500, 0.164, 0.290], [0.000, 0.821, 0.970], [0.000, 0.535, 0.566], [0.500, 0.980, 0.674]], "m_tot_mub_per_atom": 0.000, "n_ef_per_ev_fu": 2.0, "formation_enthalpy_0k_ev_per_atom": -0.33, "space_group": "Pm, No. 6"}

{"formula": "ZrAsPb4", "functional": "PBE", "state": "optimized geometry", "lattice": [[3.545, -3.638, -3.649], [4.062, -3.999, 2.573], [-1.075, -6.155, -0.268]], "species": ["Pb", "Pb", "Pb", "Pb", "As", "Zr"], "frac_coords": [[0.375, 0.375, 0.874], [0.375, 0.375, 0.375], [0.874, 0.375, 0.375], [0.375, 0.874, 0.375], [0.000, 0.000, 0.000], [0.750, 0.750, 0.750]], "m_tot_mub_per_atom": 0.000, "n_ef_per_ev_fu": 6.2, "formation_enthalpy_0k_ev_per_atom": 0.47, "space_group": "F-43m, No. 216"}

{"formula": "ZrAsPb2", "functional": "PBE", "state": "optimized geometry", "lattice": [[-5.158, -2.180, 2.479], [0.241, -4.437, 4.214], [2.629, 5.411, -1.142]], "species": ["Pb", "Pb", "Zr", "As"], "frac_coords": [[0.500, 0.500, 0.000], [0.000, 0.000, 0.000], [0.250, 0.750, 0.500], [0.750, 0.250, 0.500]], "m_tot_mub_per_atom": 0.000, "n_ef_per_ev_fu": 2.8, "formation_enthalpy_0k_ev_per_atom": -0.02, "space_group": "I4/mmm, No. 139"}

{"formula": "ZrAsPb", "functional": "PBE", "state": "optimized geometry", "lattice": [[7.971, 0.059, -0.049], [7.114, 3.203, -0.068], [0.858, -0.599, 3.087]], "species": ["Pb", "As", "Zr"], "frac_coords": [[0.681, 0.681, 0.319], [0.968, 0.968, 0.032], [0.351, 0.351, 0.649]], "m_tot_mub_per_atom": 0.000, "n_ef_per_ev_fu": 2.1, "formation_enthalpy_0k_ev_per_atom": -0.21, "space_group": "Fmm2, No. 42"}

{"formula": "ZrAsPb", "functional": "PBE", "state": "optimized geometry", "lattice": [[3.677, 0.000, 0.000], [-1.839, 3.184, 0.000], [0.000, 0.000, 6.491]], "species": ["Pb", "Zr", "As"], "frac_coords": [[0.667, 0.333, 0.333], [0.333, 0.667, 0.711], [0.000, 0.000, 0.956]], "m_tot_mub_per_atom": 0.000, "n_ef_per_ev_fu": 2.9, "formation_enthalpy_0k_ev_per_atom": -0.17, "space_group": "P3m1, No. 156"}

{"formula": "ZrAs3Pb", "functional": "PBE", "state": "optimized geometry", "lattice": [[-3.392, 1.783, 3.544], [-3.475, -3.585, -1.522], [1.914, -3.348, 3.517]], "species": ["As", "As", "As", "Pb", "Zr"], "frac_coords": [[0.000, 0.500, 0.000], [0.500, 0.000, 0.000], [0.000, 0.000, 0.500], [0.000, 0.000, 0.000], [0.500, 0.500, 0.500]], "m_tot_mub_per_atom": 0.000, "n_ef_per_ev_fu": 4.0, "formation_enthalpy_0k_ev_per_atom": 1.09, "space_group": "Pm-3m, No. 221"}